Compound: CoPtNF2
Source: Alexandria
Functional: GGA+U
Structure: relaxed

Summary:
size of the total moment = 0.568 μB per atom
raw total energy = -4.49 eV/atom
E above lowest polymorph = 0.000 eV per atom

Structure (POSCAR):
```
CoPtNF2
1.0
3.720 0.000 0.000
0.000 3.720 0.000
0.000 0.000 4.333
Co Pt N F
1 1 1 2
Direct
0.000 0.000 0.000 Co
0.500 0.500 0.500 Pt
0.000 0.000 0.500 N
0.000 0.500 0.000 F
0.500 0.000 0.000 F
```